Arrangement i

# CaSiPS2

CaSiPS2 after structural relaxation (PBE-GGA, Alexandria).

The structure belongs to space group P4/mmm (No. 123); the cell edges are 5.126, 5.126 and 5.197 Å and the angles 90.00°, 90.00° and 90.00°. The distinct sites, in fractional coordinates, are Ca at (0.000, 0.000, 0.000), Si at (0.500, 0.500, 0.500), P at (0.000, 0.000, 0.500) and S at (0.000, 0.500, 0.000).

The total moment is 0.1236 μB/atom.

=====

Arrangement ii

# CaSiPS2

CaSiPS2 after structural relaxation (PBE-GGA, Alexandria).

The structure belongs to space group P4/mmm (No. 123); the cell edges are 4.723, 4.723 and 4.470 Å and the angles 90.00°, 90.00° and 90.00°. The distinct sites, in fractional coordinates, are Ca at (0.000, 0.000, 0.000), Si at (0.500, 0.500, 0.500), P at (0.500, 0.500, 0.000) and S at (0.000, 0.500, 0.500).

The total moment is 0.0000 μB/atom.

=====

Order from most stable to least stable according to the calculation: arrangement ii, arrangement i

=====

Arrangement i

# CaSnPS2

CaSnPS2 after structural relaxation (PBE-GGA, Alexandria).

The structure belongs to space group P4/mmm (No. 123); the cell edges are 5.172, 5.172 and 5.201 Å and the angles 90.00°, 90.00° and 90.00°. The distinct sites, in fractional coordinates, are Ca at (0.000, 0.000, 0.000), Sn at (0.500, 0.500, 0.500), P at (0.000, 0.000, 0.500) and S at (0.000, 0.500, 0.000).

The total moment is 0.1278 μB/atom.

=====

Arrangement ii

# CaSnPS2

CaSnPS2 after structural relaxation (PBE-GGA, Alexandria).

The structure belongs to space group P4/mmm (No. 123); the cell edges are 5.069, 5.069 and 4.966 Å and the angles 90.00°, 90.00° and 90.00°. The distinct sites, in fractional coordinates, are Ca at (0.000, 0.000, 0.000), Sn at (0.500, 0.500, 0.500), P at (0.500, 0.500, 0.000) and S at (0.000, 0.500, 0.500).

The total moment is 0.0001 μB/atom.

=====

Order from most stable to least stable according to the calculation: arrangement ii, arrangement i

=====

Arrangement i

# SrCaPS2

SrCaPS2 after structural relaxation (PBE-GGA, Alexandria).

The structure belongs to space group P4/mmm (No. 123); the cell edges are 5.228, 5.228 and 5.154 Å and the angles 90.00°, 90.00° and 90.00°. The distinct sites, in fractional coordinates, are Sr at (0.000, 0.000, 0.000), Ca at (0.500, 0.500, 0.500), P at (0.500, 0.500, 0.000) and S at (0.000, 0.500, 0.500).

The total moment is 0.0003 μB/atom.

=====

Arrangement ii

# SrCaPS2

SrCaPS2 after structural relaxation (PBE-GGA, Alexandria).

The structure belongs to space group P4/mmm (No. 123); the cell edges are 5.430, 5.430 and 5.336 Å and the angles 90.00°, 90.00° and 90.00°. The distinct sites, in fractional coordinates, are Sr at (0.000, 0.000, 0.000), Ca at (0.500, 0.500, 0.500), P at (0.000, 0.000, 0.500) and S at (0.000, 0.500, 0.000).

The total moment is 0.0001 μB/atom.

=====

Order from most stable to least stable according to the calculation: arrangement i, arrangement ii

=====

Arrangement i

# CaTaPS2

CaTaPS2 after structural relaxation (PBE-GGA, Alexandria).

The structure belongs to space group P4/mmm (No. 123); the cell edges are 4.945, 4.945 and 5.000 Å and the angles 90.00°, 90.00° and 90.00°. The distinct sites, in fractional coordinates, are Ca at (0.000, 0.000, 0.000), Ta at (0.500, 0.500, 0.500), P at (0.000, 0.000, 0.500) and S at (0.000, 0.500, 0.000).

The total moment is 0.2724 μB/atom.

=====

Arrangement ii

# CaTaPS2

CaTaPS2 after structural relaxation (PBE-GGA, Alexandria).

The structure belongs to space group P4/mmm (No. 123); the cell edges are 4.794, 4.794 and 4.914 Å and the angles 90.00°, 90.00° and 90.00°. The distinct sites, in fractional coordinates, are Ca at (0.000, 0.000, 0.000), Ta at (0.500, 0.500, 0.500), P at (0.500, 0.500, 0.000) and S at (0.000, 0.500, 0.500).

The total moment is 0.0000 μB/atom.

=====

Order from most stable to least stable according to the calculation: arrangement ii, arrangement i

=====

Arrangement i

# CaVPS2

CaVPS2 after structural relaxation (PBE-GGA, Alexandria).

The structure belongs to space group P4/mmm (No. 123); the cell edges are 4.681, 4.681 and 4.545 Å and the angles 90.00°, 90.00° and 90.00°. The distinct sites, in fractional coordinates, are Ca at (0.000, 0.000, 0.000), V at (0.500, 0.500, 0.500), P at (0.500, 0.500, 0.000) and S at (0.000, 0.500, 0.500).

The total moment is 0.0000 μB/atom.

=====

Arrangement ii

# CaVPS2

CaVPS2 after structural relaxation (PBE-GGA, Alexandria).

The structure belongs to space group P4/mmm (No. 123); the cell edges are 5.093, 5.093 and 5.095 Å and the angles 90.00°, 90.00° and 90.00°. The distinct sites, in fractional coordinates, are Ca at (0.000, 0.000, 0.000), V at (0.500, 0.500, 0.500), P at (0.000, 0.000, 0.500) and S at (0.000, 0.500, 0.000).

The total moment is 0.4266 μB/atom.

=====

Order from most stable to least stable according to the calculation: arrangement i, arrangement ii

=====

Arrangement i

# CaPWS2

CaPWS2 after structural relaxation (PBE-GGA, Alexandria).

The structure belongs to space group P4/mmm (No. 123); the cell edges are 4.727, 4.727 and 4.786 Å and the angles 90.00°, 90.00° and 90.00°. The distinct sites, in fractional coordinates, are Ca at (0.000, 0.000, 0.000), P at (0.500, 0.500, 0.000), W at (0.500, 0.500, 0.500) and S at (0.000, 0.500, 0.500).

The total moment is 0.0000 μB/atom.

=====

Arrangement ii

# CaPWS2

CaPWS2 after structural relaxation (PBE-GGA, Alexandria).

The structure belongs to space group P4/mmm (No. 123); the cell edges are 5.013, 5.013 and 5.072 Å and the angles 90.00°, 90.00° and 90.00°. The distinct sites, in fractional coordinates, are Ca at (0.000, 0.000, 0.000), P at (0.000, 0.000, 0.500), W at (0.500, 0.500, 0.500) and S at (0.000, 0.500, 0.000).

The total moment is 0.4502 μB/atom.

=====

Order from most stable to least stable according to the calculation: arrangement i, arrangement ii

=====

Arrangement i

# CaYP2S

CaYP2S after structural relaxation (PBE-GGA, Alexandria).

The structure belongs to space group P4/mmm (No. 123); the cell edges are 5.219, 5.219 and 5.202 Å and the angles 90.00°, 90.00° and 90.00°. The distinct sites, in fractional coordinates, are Ca at (0.000, 0.000, 0.000), Y at (0.500, 0.500, 0.500), P at (0.000, 0.500, 0.500) and S at (0.500, 0.500, 0.000).

The total moment is 0.0000 μB/atom.

=====

Arrangement ii

# CaYP2S

CaYP2S after structural relaxation (PBE-GGA, Alexandria).

The structure belongs to space group P4/mmm (No. 123); the cell edges are 5.021, 5.021 and 5.032 Å and the angles 90.00°, 90.00° and 90.00°. The distinct sites, in fractional coordinates, are Ca at (0.000, 0.000, 0.000), Y at (0.500, 0.500, 0.500), P at (0.000, 0.500, 0.000) and S at (0.000, 0.000, 0.500).

The total moment is 0.0000 μB/atom.

=====

Order from most stable to least stable according to the calculation: arrangement i, arrangement ii

=====

Arrangement i

# CaZnPS2

CaZnPS2 after structural relaxation (PBE-GGA, Alexandria).

The structure belongs to space group P4/mmm (No. 123); the cell edges are 5.206, 5.206 and 5.511 Å and the angles 90.00°, 90.00° and 90.00°. The distinct sites, in fractional coordinates, are Ca at (0.000, 0.000, 0.000), Zn at (0.500, 0.500, 0.500), P at (0.000, 0.000, 0.500) and S at (0.000, 0.500, 0.000).

The total moment is 0.5037 μB/atom.

=====

Arrangement ii

# CaZnPS2

CaZnPS2 after structural relaxation (PBE-GGA, Alexandria).

The structure belongs to space group P4/mmm (No. 123); the cell edges are 4.910, 4.910 and 4.459 Å and the angles 90.00°, 90.00° and 90.00°. The distinct sites, in fractional coordinates, are Ca at (0.000, 0.000, 0.000), Zn at (0.500, 0.500, 0.500), P at (0.500, 0.500, 0.000) and S at (0.000, 0.500, 0.500).

The total moment is 0.0000 μB/atom.

=====

Order from most stable to least stable according to the calculation: arrangement ii, arrangement i

=====

Arrangement i

# CaZnP2S

CaZnP2S after structural relaxation (PBE-GGA, Alexandria).

The structure belongs to space group P4/mmm (No. 123); the cell edges are 4.568, 4.568 and 5.149 Å and the angles 90.00°, 90.00° and 90.00°. The distinct sites, in fractional coordinates, are Ca at (0.000, 0.000, 0.000), Zn at (0.500, 0.500, 0.500), P at (0.000, 0.500, 0.500) and S at (0.500, 0.500, 0.000).

The total moment is 0.0000 μB/atom.

=====

Arrangement ii

# CaZnP2S

CaZnP2S after structural relaxation (PBE-GGA, Alexandria).

The structure belongs to space group P4/mmm (No. 123); the cell edges are 5.316, 5.316 and 5.511 Å and the angles 90.00°, 90.00° and 90.00°. The distinct sites, in fractional coordinates, are Ca at (0.000, 0.000, 0.000), Zn at (0.000, 0.000, 0.500), P at (0.000, 0.500, 0.000) and S at (0.500, 0.500, 0.500).

The total moment is 0.1244 μB/atom.

=====

Order from most stable to least stable according to the calculation: arrangement i, arrangement ii

=====

Arrangement i

# Ca2SbP

Ca2SbP after structural relaxation (PBE-GGA, Alexandria).

The structure belongs to space group Fm-3m (No. 225); the cell edges are 7.450, 7.450 and 7.450 Å and the angles 90.00°, 90.00° and 90.00°. The distinct sites, in fractional coordinates, are Ca at (0.250, 0.250, 0.250), Sb at (0.000, 0.000, 0.000) and P at (0.000, 0.000, 0.500).

The total moment is 0.0000 μB/atom.

=====

Arrangement ii

# Ca2SbP

Ca2SbP after structural relaxation (PBE-GGA, Alexandria).

The structure belongs to space group F-43m (No. 216); the cell edges are 7.404, 7.404 and 7.404 Å and the angles 90.00°, 90.00° and 90.00°. The distinct sites, in fractional coordinates, are Ca at (0.000, 0.000, 0.000), Ca at (0.250, 0.250, 0.250), Sb at (0.250, 0.250, 0.750) and P at (0.000, 0.000, 0.500).

The total moment is 0.0000 μB/atom.

=====

Order from most stable to least stable according to the calculation: arrangement i, arrangement ii

=====

Arrangement i

# Ca2SbP

Ca2SbP after structural relaxation (PBE-GGA, Alexandria).

The structure belongs to space group P4/mmm (No. 123); the cell edges are 5.521, 5.521 and 3.357 Å and the angles 90.00°, 90.00° and 90.00°. The distinct sites, in fractional coordinates, are Ca at (0.000, 0.500, 0.000), Sb at (0.000, 0.000, 0.500) and P at (0.500, 0.500, 0.500).

The total moment is 0.0000 μB/atom.

=====

Arrangement ii

# Ca2SbP

Ca2SbP after structural relaxation (PBE-GGA, Alexandria).

The structure belongs to space group R3m (No. 160, hexagonal axes); the cell edges are 3.8490, 3.8490 and 28.3096 Å and the angles 90.00°, 90.00° and 120.00°. The distinct sites, in fractional coordinates, are Ca at (0.0000, 0.0000, 0.0000), Ca at (0.0000, 0.0000, 0.2172), Sb at (0.0000, 0.0000, 0.4587) and P at (0.0000, 0.0000, 0.7342).

The total moment is 0.0000 μB/atom.

=====

Arrangement iii

# Ca2SbP

Ca2SbP after structural relaxation (PBE-GGA, Alexandria).

The structure belongs to space group I4/mmm (No. 139); the cell edges are 4.978, 4.978 and 8.189 Å and the angles 90.00°, 90.00° and 90.00°. The distinct sites, in fractional coordinates, are Ca at (0.000, 0.500, 0.250), Sb at (0.000, 0.000, 0.000) and P at (0.000, 0.000, 0.500).

The total moment is 0.0000 μB/atom.

=====

Order from most stable to least stable according to the calculation: arrangement iii, arrangement i, arrangement ii

=====

Arrangement i

# Ca2SbP

Ca2SbP after structural relaxation (PBE-GGA, Alexandria).

The structure belongs to space group C2/m (No. 12); the cell edges are 6.554, 7.978 and 3.863 Å and the angles 90.00°, 90.17° and 90.00°. The distinct sites, in fractional coordinates, are Ca at (0.250, 0.250, 0.000), Sb at (0.000, 0.000, 0.500) and P at (0.000, 0.500, 0.500).

The total moment is 0.0000 μB/atom.

=====

Arrangement ii

# Ca2SbP

Ca2SbP after structural relaxation (PBE-GGA, Alexandria).

The structure belongs to space group P4/mmm (No. 123); the cell edges are 4.350, 4.350 and 6.165 Å and the angles 90.00°, 90.00° and 90.00°. The distinct sites, in fractional coordinates, are Ca at (0.000, 0.000, 0.000), Ca at (0.500, 0.500, 0.500), Sb at (0.000, 0.000, 0.500) and P at (0.500, 0.500, 0.000).

The total moment is 0.0968 μB/atom.

=====

Arrangement iii

# Ca2SbP

Ca2SbP after structural relaxation (PBE-GGA, Alexandria).

The structure belongs to space group I-4m2 (No. 119); the cell edges are 4.313, 4.313 and 10.955 Å and the angles 90.00°, 90.00° and 90.00°. The distinct sites, in fractional coordinates, are Ca at (0.000, 0.000, 0.000), Ca at (0.000, 0.500, 0.250), Sb at (0.000, 0.000, 0.500) and P at (0.000, 0.500, 0.750).

The total moment is 0.0000 μB/atom.

=====

Arrangement iv

# Ca2SbP

Ca2SbP after structural relaxation (PBE-GGA, Alexandria).

The structure belongs to space group P4/mmm (No. 123); the cell edges are 3.494, 3.494 and 8.288 Å and the angles 90.00°, 90.00° and 90.00°. The distinct sites, in fractional coordinates, are Ca at (0.000, 0.000, 0.204), Sb at (0.500, 0.500, 0.500) and P at (0.500, 0.500, 0.000).

The total moment is 0.0000 μB/atom.

=====

Order from most stable to least stable according to the calculation: arrangement iv, arrangement i, arrangement iii, arrangement ii